The following is a DFT calculation (PBE with a Hubbard U) of an optimized crystal structure of Sr3NpMn2O9.

a b c (Å): 5.725 5.725 7.145
angles (deg): 90.00 90.00 120.00
Site moments in Bohr magnetons follow the coordinates.
Sites, in units of the cell vectors:
1 Sr 0.333 0.667 0.706  0.01
2 Sr 0.000 0.000 0.000  0.01
3 Sr 0.667 0.333 0.294  0.01
4 Np 0.000 0.000 0.500  1.37
5 Mn 0.333 0.667 0.156  3.96
6 Mn 0.667 0.333 0.844  3.96
7 O 0.833 0.167 0.671  -0.05
8 O 0.833 0.666 0.671  -0.05
9 O 0.334 0.167 0.671  -0.05
10 O 0.666 0.833 0.329  -0.05
11 O 0.167 0.334 0.329  -0.05
12 O 0.167 0.833 0.329  -0.05
13 O 0.500 0.000 0.000  -0.09
14 O 0.000 0.500 0.000  -0.09
15 O 0.500 0.500 0.000  -0.09

## Properties
Total magnetic moment in μB/f.u.: 9.00
Calculated total energy in Ry/atom: -0.5652
Space-group type: P-3m1 (164)
DOS(E_F) in states/eV/atom: 0.2665